The following is a DFT calculation (PBE-GGA) of a relaxed LaMoAu4 crystal.

Geometry as POSCAR:
```
LaMoAu4
1.0
2.846 -2.696 4.043
-2.297 -0.659 5.100
-1.673 -5.103 1.697
La Mo Au
1 1 4
Direct
0.750 0.750 0.750
0.000 0.000 0.000
0.877 0.374 0.374
0.374 0.374 0.877
0.374 0.877 0.374
0.374 0.374 0.374
```

- energy of formation from the pure elements (eV/atom) = 0.017
- DOS at the Fermi energy (states/eV/cell) = 5.1
- electronic total energy (eV/atom) = -4.795

***

The following is a DFT calculation (PBE-GGA) of a relaxed TiGeNO2 crystal.

Geometry as POSCAR:
```
TiGeNO2
1.0
-1.924 0.546 3.287
-1.429 -3.564 -0.245
3.181 -1.419 2.097
Ge N O Ti
1 1 2 1
Direct
0.500 0.500 0.500
0.000 0.000 0.500
0.000 0.500 0.000
0.500 0.000 0.000
0.000 0.000 0.000
```

- DOS at the Fermi energy (states/eV/cell) = 1.3
- formation energy without anion corrections (eV per atom) = -1.0489
- electronic total energy (eV/atom) = -7.200

***

The following is a DFT calculation (PBE-GGA) of a relaxed CdGaN2 crystal.

Geometry as POSCAR:
```
CdGaN2
1.0
-0.350 2.285 -4.380
0.954 -4.277 -2.308
-4.198 -1.931 -3.472
N Ga Cd
4 2 2
Direct
0.573 0.125 0.250
0.177 0.625 0.250
0.375 0.427 0.750
0.875 0.823 0.750
0.500 0.500 0.000
0.250 0.750 0.500
0.000 0.000 0.000
0.750 0.250 0.500
```

- DOS at the Fermi energy (states/eV/cell) = 2.1
- formation energy without anion corrections (eV per atom) = 0.3307
- electronic total energy (eV/atom) = -4.817
- offset from the most stable computed form (kJ/mol of formula units) = 0.0